1.
# TbPmNb

A geometry-optimized TbPmNb structure (PBE, OQMD via LeMat-Bulk).

Energy: -5.685 eV/atom
Formation energy: 0.8042 eV per atom
Energy above the lowest structure with this stoichiometry: 0.0 meV per atom

Unit cell a=5.1017 b=5.1017 c=5.1017 alpha=60.00 beta=60.00 gamma=60.00
Last column: nearest neighbours and their distance in Å.
Sites, in units of the cell vectors:
Nb (0.0000, 0.0000, 0.0000)  4 Tb 3.12, 4 Pm 3.12
Pm (0.2500, 0.2500, 0.2500)  4 Nb 3.12
Tb (0.7500, 0.7500, 0.7500)  4 Nb 3.12

***

2.
# Dy2YFe6CoNi2

A geometry-optimized Dy2YFe6CoNi2 structure (PBE, OQMD via LeMat-Bulk).

Energy: -7.125 eV/atom
Formation energy: -0.1449 eV per atom

Unit cell a=8.7017 b=8.7017 c=8.7017 alpha=33.45 beta=33.45 gamma=33.45
Last column: nearest neighbours and their distance in Å.
Sites, in units of the cell vectors:
Fe (0.5822, 0.5822, 0.0824)  2 Ni 2.47-2.50, 4 Fe 2.50-2.51, 1 Co 2.53
Fe (0.9176, 0.4178, 0.4178)  2 Ni 2.47-2.50, 4 Fe 2.50-2.51, 1 Co 2.53
Ni (0.6674, 0.6674, 0.6674)  6 Fe 2.47-2.50
Co (0.5000, 0.5000, 0.5000)  6 Fe 2.53
Dy (0.1418, 0.1418, 0.1418)  9 Fe 2.90-3.05, 3 Co 2.96, 3 Dy 3.14
Fe (0.4178, 0.9176, 0.4178)  2 Ni 2.47-2.50, 4 Fe 2.50-2.51, 1 Co 2.53
Fe (0.4178, 0.4178, 0.9176)  2 Ni 2.47-2.50, 4 Fe 2.50-2.51, 1 Co 2.53
Dy (0.8582, 0.8582, 0.8582)  9 Fe 2.90-3.05, 3 Co 2.96, 3 Dy 3.14
Ni (0.3326, 0.3326, 0.3326)  6 Fe 2.47-2.50
Fe (0.5822, 0.0824, 0.5822)  2 Ni 2.47-2.50, 4 Fe 2.50-2.51, 1 Co 2.53
Fe (0.0824, 0.5822, 0.5822)  2 Ni 2.47-2.50, 4 Fe 2.50-2.51, 1 Co 2.53
Y (0.0000, 0.0000, 0.0000)  6 Ni 2.89, 12 Fe 3.22

***

3.
# GdScCl6

A geometry-optimized GdScCl6 structure (PBE, OQMD via LeMat-Bulk).

Energy: -4.946 eV/atom

Unit cell a=6.6867 b=6.6867 c=6.3945 alpha=100.10 beta=100.10 gamma=120.15
Last column: nearest neighbours and their distance in Å.
Sites, in units of the cell vectors:
Gd (0.8345, 0.1655, 0.0000)  6 Cl 2.67-2.68
Cl (0.2328, 0.2127, 0.2418)  1 Sc 2.50, 1 Gd 2.67
Cl (0.7873, 0.7672, 0.7582)  1 Sc 2.50, 1 Gd 2.67
Sc (0.1659, 0.8340, 0.0000)  6 Cl 2.50-2.51
Cl (0.5603, 0.9274, 0.2398)  1 Sc 2.51, 1 Gd 2.68
Cl (0.9452, 0.5985, 0.2370)  1 Sc 2.50, 1 Gd 2.67
Cl (0.0726, 0.4397, 0.7602)  1 Sc 2.51, 1 Gd 2.68
Cl (0.4015, 0.0548, 0.7630)  1 Sc 2.50, 1 Gd 2.67

***

4.
# Nb4SiAuC2

A geometry-optimized Nb4SiAuC2 structure (PBE, OQMD via LeMat-Bulk).

Energy: -8.889 eV/atom

Unit cell a=3.2106 b=3.2106 c=13.1791 alpha=90.00 beta=90.00 gamma=120.00
Last column: nearest neighbours and their distance in Å.
Sites, in units of the cell vectors:
Nb (0.3333, 0.6667, 0.3279)  3 C 2.19
Nb (0.0000, 0.0000, 0.1469)  3 C 2.22
Au (0.0000, 0.0000, 0.5000)  6 Nb 2.93, 6 Au 3.21
C (0.6667, 0.3333, 0.2401)  6 Nb 2.19-2.22
Si (0.3333, 0.6667, 0.0000)  6 Nb 2.68
Nb (0.3333, 0.6667, 0.6721)  3 C 2.19
Nb (0.0000, 0.0000, 0.8531)  3 C 2.22
C (0.6667, 0.3333, 0.7599)  6 Nb 2.19-2.22

***

5.
# PmAuSeO

A geometry-optimized PmAuSeO structure (PBE, OQMD via LeMat-Bulk).

Energy: -5.945 eV/atom
Energy above the lowest structure with this stoichiometry: 58.0 meV per atom

Unit cell a=5.6959 b=5.6959 c=9.5184 alpha=90.00 beta=90.00 gamma=90.00
Last column: nearest neighbours and their distance in Å.
Sites, in units of the cell vectors:
O (0.7514, 0.7486, 0.0029)  4 Pm 2.31-2.34
O (0.2514, 0.7514, 0.0029)  4 Pm 2.31-2.34
Au (0.8196, 0.6804, 0.4900)  3 Se 2.62-2.80, 1 Au 2.91
Pm (0.5000, 0.5000, 0.8774)  4 O 2.34
O (0.7486, 0.2486, 0.0029)  4 Pm 2.31-2.34
Se (0.0000, 0.0000, 0.2939)  4 Au 2.80
Se (0.0000, 0.5000, 0.7186)  2 Au 2.62
Au (0.3196, 0.8196, 0.4900)  3 Se 2.62-2.80, 1 Au 2.91
Pm (0.5000, 0.0000, 0.1243)  4 O 2.31-2.33
O (0.2486, 0.2514, 0.0029)  4 Pm 2.31-2.34
Se (0.5000, 0.5000, 0.2939)  4 Au 2.80
Pm (0.0000, 0.5000, 0.1243)  4 O 2.31-2.33
Au (0.1804, 0.3196, 0.4900)  3 Se 2.62-2.80, 1 Au 2.91
Se (0.5000, 0.0000, 0.7186)  2 Au 2.62
Pm (0.0000, 0.0000, 0.8774)  4 O 2.34
Au (0.6804, 0.1804, 0.4900)  3 Se 2.62-2.80, 1 Au 2.91

***

6.
# PrInHgTe3

A geometry-optimized PrInHgTe3 structure (PBE, OQMD via LeMat-Bulk).

Energy: -3.559 eV/atom
Energy above the lowest structure with this stoichiometry: 0.0 meV per atom

Unit cell a=7.9737 b=7.9737 c=11.7253 alpha=90.00 beta=90.00 gamma=32.66
Last column: nearest neighbours and their distance in Å.
Sites, in units of the cell vectors:
Te (0.3553, 0.3553, 0.0569)  1 Hg 2.86
In (0.2388, 0.2388, 0.7500)  6 Te 3.43-3.50
Hg (0.4692, 0.4692, 0.2500)  4 Te 2.86-2.92
Pr (0.0000, 0.0000, 0.5000)  6 Te 3.22-3.25
Pr (0.0000, 0.0000, 0.0000)  6 Te 3.22-3.25
Te (0.0914, 0.0914, 0.2500)  2 Hg 2.92, 2 Pr 3.25
Te (0.6447, 0.6447, 0.5569)  1 Hg 2.86
In (0.7612, 0.7612, 0.2500)  6 Te 3.43-3.50
Te (0.3553, 0.3553, 0.4431)  1 Hg 2.86
Te (0.9086, 0.9086, 0.7500)  2 Hg 2.92, 2 Pr 3.25
Hg (0.5308, 0.5308, 0.7500)  4 Te 2.86-2.92
Te (0.6447, 0.6447, 0.9431)  1 Hg 2.86

***

7.
# DyHoMg2Ag4

A geometry-optimized DyHoMg2Ag4 structure (PBE, OQMD via LeMat-Bulk).

Energy: -3.256 eV/atom

Unit cell a=4.9029 b=4.9029 c=6.9340 alpha=90.00 beta=90.00 gamma=90.00
Last column: nearest neighbours and their distance in Å.
Sites, in units of the cell vectors:
Ag (0.5000, 0.0000, 0.7497)  2 Ho 3.00, 4 Mg 3.00, 2 Dy 3.00
Mg (0.0000, 0.0000, 0.5000)  8 Ag 3.00
Ag (0.5000, 0.0000, 0.2503)  2 Ho 3.00, 4 Mg 3.00, 2 Dy 3.00
Ho (0.5000, 0.5000, 0.5000)  8 Ag 3.00
Ag (0.0000, 0.5000, 0.7497)  2 Ho 3.00, 4 Mg 3.00, 2 Dy 3.00
Mg (0.5000, 0.5000, 0.0000)  8 Ag 3.00
Ag (0.0000, 0.5000, 0.2503)  2 Ho 3.00, 4 Mg 3.00, 2 Dy 3.00
Dy (0.0000, 0.0000, 0.0000)  8 Ag 3.00

***

8.
# HfTaFeBi

A geometry-optimized HfTaFeBi structure (PBE, OQMD via LeMat-Bulk).

Energy: -8.018 eV/atom
Energy above the lowest structure with this stoichiometry: 0.0 meV per atom

Unit cell a=4.7196 b=4.7196 c=4.7196 alpha=60.00 beta=60.00 gamma=60.00
Last column: nearest neighbours and their distance in Å.
Sites, in units of the cell vectors:
Bi (0.0000, 0.0000, 0.0000)  4 Ta 2.89, 4 Fe 2.89
Hf (0.5000, 0.5000, 0.5000)  4 Ta 2.89, 4 Fe 2.89
Fe (0.7500, 0.7500, 0.7500)  4 Bi 2.89, 4 Hf 2.89
Ta (0.2500, 0.2500, 0.2500)  4 Hf 2.89, 4 Bi 2.89

***

9.
# AlCuI3Cl

A geometry-optimized AlCuI3Cl structure (PBE, OQMD via LeMat-Bulk).

Energy: -2.987 eV/atom

Unit cell a=6.2035 b=6.3414 c=6.9154 alpha=116.67 beta=114.65 gamma=90.23
Last column: nearest neighbours and their distance in Å.
Sites, in units of the cell vectors:
Cu (0.5043, 0.4961, 0.9970)  1 Cl 2.44, 3 I 2.60-2.61
I (0.8644, 0.8768, 0.2485)  1 Al 2.57, 1 Cu 2.61
I (0.3814, 0.3537, 0.2437)  1 Al 2.58, 1 Cu 2.60
Cl (0.6424, 0.1751, 0.7475)  1 Al 2.18, 1 Cu 2.44
I (0.1143, 0.6048, 0.7532)  1 Al 2.58, 1 Cu 2.61
Al (0.7432, 0.2435, 0.5101)  1 Cl 2.18

***

10.
# SrZnOs2

A geometry-optimized SrZnOs2 structure (PBE, OQMD via LeMat-Bulk).

Energy: -5.511 eV/atom

Unit cell a=4.6497 b=4.6497 c=4.6497 alpha=60.00 beta=60.00 gamma=60.00
Last column: nearest neighbours and their distance in Å.
Sites, in units of the cell vectors:
Os (0.2500, 0.2500, 0.2500)  4 Zn 2.85, 4 Os 2.85
Os (0.0000, 0.0000, 0.0000)  4 Sr 2.85, 4 Os 2.85
Zn (0.5000, 0.5000, 0.5000)  4 Os 2.85, 4 Sr 2.85
Sr (0.7500, 0.7500, 0.7500)  4 Os 2.85, 4 Zn 2.85

***

11.
# CsNd2AuSe4

A geometry-optimized CsNd2AuSe4 structure (PBE, OQMD via LeMat-Bulk).

Energy: -4.901 eV/atom

Unit cell a=7.8018 b=7.8018 c=14.9777 alpha=90.00 beta=90.00 gamma=147.87
Last column: nearest neighbours and their distance in Å.
Sites, in units of the cell vectors:
Nd (0.3690, 0.6310, 0.0667)  6 Se 2.94-3.09
Au (0.8424, 0.1576, 0.2500)  4 Se 2.62-2.67
Se (0.7410, 0.2590, 0.1034)  1 Au 2.67, 2 Nd 2.94
Cs (0.1180, 0.8820, 0.2500)  6 Se 3.42-3.59
Se (0.5591, 0.4409, 0.7500)  2 Au 2.62
Nd (0.3690, 0.6310, 0.4333)  6 Se 2.94-3.09
Se (0.7410, 0.2590, 0.3966)  1 Au 2.67, 2 Nd 2.94
Se (0.2590, 0.7410, 0.6034)  1 Au 2.67, 2 Nd 2.94
Se (0.0000, 0.0000, 0.0000)  4 Nd 3.09
Cs (0.8820, 0.1180, 0.7500)  6 Se 3.42-3.59
Nd (0.6310, 0.3690, 0.9333)  6 Se 2.94-3.09
Au (0.1576, 0.8424, 0.7500)  4 Se 2.62-2.67
Se (0.2590, 0.7410, 0.8966)  1 Au 2.67, 2 Nd 2.94
Se (0.0000, 0.0000, 0.5000)  4 Nd 3.09
Se (0.4409, 0.5591, 0.2500)  2 Au 2.62
Nd (0.6310, 0.3690, 0.5667)  6 Se 2.94-3.09

***

12.
# MgNi

A geometry-optimized MgNi structure (PBE, OQMD via LeMat-Bulk).

Energy: -3.586 eV/atom

Unit cell a=4.7261 b=10.9358 c=4.3892 alpha=90.00 beta=90.00 gamma=90.00
Last column: nearest neighbours and their distance in Å.
Sites, in units of the cell vectors:
Ni (0.9764, 0.2627, 0.0000)  4 Ni 2.46-2.63, 5 Mg 2.71-2.75
Ni (0.3569, 0.7627, 0.5000)  4 Ni 2.46-2.63, 5 Mg 2.71-2.75
Ni (0.8125, 0.3750, 0.5000)  6 Ni 2.62-2.63, 6 Mg 2.68-2.76
Mg (0.0190, 0.9928, 0.0000)  4 Mg 2.58-2.74, 6 Ni 2.68-2.71
Ni (0.8229, 0.8750, 0.5000)  6 Ni 2.52-2.81, 6 Mg 2.71
Mg (0.3144, 0.2572, 0.5000)  4 Mg 2.58-2.74, 6 Ni 2.68-2.71
Mg (0.8470, 0.1228, 0.5000)  6 Mg 2.65-2.91, 6 Ni 2.71-2.83
Mg (0.4863, 0.1272, 0.0000)  6 Mg 2.65-2.91, 6 Ni 2.71-2.83
Ni (0.5105, 0.3750, 0.0000)  6 Ni 2.52-2.81, 6 Mg 2.71
Ni (0.9764, 0.4873, 0.0000)  4 Ni 2.46-2.63, 5 Mg 2.71-2.75
Mg (0.4863, 0.6228, 0.0000)  6 Mg 2.65-2.91, 6 Ni 2.71-2.83
Ni (0.5209, 0.8750, 0.0000)  6 Ni 2.62-2.63, 6 Mg 2.68-2.76
Ni (0.3569, 0.9873, 0.5000)  4 Ni 2.46-2.63, 5 Mg 2.71-2.75
Mg (0.3144, 0.4928, 0.5000)  4 Mg 2.58-2.74, 6 Ni 2.68-2.71
Mg (0.0190, 0.7572, 0.0000)  4 Mg 2.58-2.74, 6 Ni 2.68-2.71
Mg (0.8470, 0.6272, 0.5000)  6 Mg 2.65-2.91, 6 Ni 2.71-2.83